# 1
Compound: CaHf2Cl
Source: the Alexandria database
Functional: GGA-PBE
Structure: optimized geometry

Cell lengths 5.1659, 5.1659, 5.1659 Å; angles 60.00, 60.00, 60.00 degrees
With the nearest neighbours (Å) after each atom.
Fractional positions:
Cl1 0.0000 0.0000 0.0000  8 Hf 3.16
Ca1 0.5000 0.5000 0.5000  8 Hf 3.16
Hf1 0.2500 0.2500 0.2500  4 Cl 3.16, 4 Ca 3.16
Hf2 0.7500 0.7500 0.7500  4 Ca 3.16, 4 Cl 3.16

Output
The value obtained for the energy relative to the lowest polymorph listed for this composition is 0.180 eV/atom. For the density of states at the Fermi level, the calculation gives 1.4782 states/eV/atom. The formation energy (no corrections) is 3.13 eV per formula unit.

=====

# 2
Compound: K2CrBS4
Source: the Alexandria database
Functional: GGA-PBE
Structure: optimized geometry

Cell lengths 6.6824, 6.6820, 6.2043 Å; angles 122.58, 122.58, 90.00 degrees
With the nearest neighbours (Å) after each atom.
Fractional positions:
K1 0.2358 0.2358 0.4717  8 S 3.31-3.44
K2 0.4858 0.9858 0.9716  4 S 3.07
S1 0.3928 0.7326 0.2190  1 B 1.95
S2 0.9853 0.0790 0.7245  1 B 1.95
S3 0.8262 0.4865 0.2190  1 B 1.95
S4 0.7393 0.6455 0.7246  1 B 1.95
B1 0.7359 0.7359 0.4718  4 S 1.95
Cr1 0.9859 0.4859 0.9719  4 S 2.29

Output
For the density of states at the Fermi level, the calculation gives 0.3744 states/eV/atom. The formation energy (no corrections) is -5.97 eV per formula unit.

=====

# 3
Compound: NbAs2SeI
Source: the Alexandria database
Functional: GGA-PBE
Structure: optimized geometry

Cell lengths 5.2764, 5.2764, 5.2008 Å; angles 90.00, 90.00, 90.00 degrees
With the nearest neighbours (Å) after each atom.
Fractional positions:
Nb1 0.5000 0.5000 0.5000  8 As 3.70, 4 Se 3.73
As1 0.5000 0.0000 0.0000  2 I 2.64
As2 0.0000 0.5000 0.0000  2 I 2.64
I1 0.0000 0.0000 0.0000  2 Se 2.60, 4 As 2.64
Se1 0.0000 0.0000 0.5000  2 I 2.60

Output
The value obtained for the energy relative to the lowest polymorph listed for this composition is 1.381 eV/atom. For the density of states at the Fermi level, the calculation gives 0.9413 states/eV/atom. The formation energy (no corrections) is 7.62 eV per formula unit.

=====

# 4
Compound: TbHo6Tm
Source: the Alexandria database
Functional: GGA-PBE
Structure: optimized geometry

Cell lengths 6.0906, 6.0925, 11.1091 Å; angles 56.81, 79.52, 48.13 degrees
With the nearest neighbours (Å) after each atom.
Fractional positions:
Ho1 0.8745 0.6260 0.6242  8 Ho 3.50-3.52, 3 Tm 3.51, 1 Tb 3.52
Ho2 0.3755 0.1240 0.1258  1 Tm 3.51, 8 Ho 3.51-3.53, 3 Tb 3.52
Ho3 0.2491 0.7506 0.7493  8 Ho 3.50-3.53, 2 Tm 3.50-3.51, 2 Tb 3.52
Ho4 0.6245 0.8760 0.8742  1 Tm 3.51, 8 Ho 3.51-3.53, 3 Tb 3.52
Ho5 0.7509 0.2494 0.2507  8 Ho 3.50-3.53, 2 Tm 3.50-3.51, 2 Tb 3.52
Ho6 0.1255 0.3740 0.3758  8 Ho 3.50-3.52, 3 Tm 3.51, 1 Tb 3.52
Tb1 0.0000 0.0000 0.0000  12 Ho 3.52
Tm1 0.5000 0.5000 0.5000  12 Ho 3.50-3.51

Output
The value obtained for the energy relative to the lowest polymorph listed for this composition is 0.000 eV/atom. For the density of states at the Fermi level, the calculation gives 1.2658 states/eV/atom. For the calculated formation energy, the calculation gives 0.019 eV per atom.

=====

# 5
Compound: Ce2ThAu
Source: the Alexandria database
Functional: GGA-PBE
Structure: optimized geometry

Cell lengths 3.5645, 3.5645, 10.4537 Å; angles 80.18, 80.18, 60.00 degrees
With the nearest neighbours (Å) after each atom.
Fractional positions:
Ce1 0.2591 0.2591 0.2227  3 Au 3.08
Ce2 0.0741 0.0741 0.7777  3 Au 3.06
Th1 0.4998 0.4998 0.5007  6 Ce 3.51, 6 Th 3.56
Au1 0.6670 0.6670 0.9990  6 Ce 3.06-3.08

Output
The value obtained for the energy relative to the lowest polymorph listed for this composition is 0.172 eV/atom. For the density of states at the Fermi level, the calculation gives 2.3109 states/eV/atom. For the calculated formation energy, the calculation gives -0.125 eV per atom.

=====

# 6
Compound: LaNdSmIn
Source: the Alexandria database
Functional: GGA-PBE
Structure: optimized geometry

Cell lengths 4.9227, 4.9227, 6.2103 Å; angles 113.35, 113.35, 90.00 degrees
With the nearest neighbours (Å) after each atom.
Fractional positions:
Nd1 0.2500 0.7500 0.5000  4 Sm 3.48, 4 In 3.56, 4 La 3.56
In1 0.0000 0.0000 0.0000  4 La 3.48, 4 Nd 3.56, 4 Sm 3.56
La1 0.5000 0.5000 0.0000  4 In 3.48, 4 Nd 3.56, 4 Sm 3.56
Sm1 0.7500 0.2500 0.5000  4 Nd 3.48, 4 In 3.56, 4 La 3.56

Output
The value obtained for the energy relative to the lowest polymorph listed for this composition is 0.000 eV/atom. For the density of states at the Fermi level, the calculation gives 1.4815 states/eV/atom. For the calculated formation energy, the calculation gives -0.243 eV per atom.

=====

# 7
Compound: Zr2As2S
Source: the Alexandria database
Functional: GGA-PBE
Structure: optimized geometry

Cell lengths 7.1972, 7.1972, 3.7374 Å; angles 90.00, 90.00, 90.00 degrees
With the nearest neighbours (Å) after each atom.
Fractional positions:
S1 0.5000 0.5000 0.0000  4 Zr 2.69
S2 0.0000 0.0000 0.0000  4 Zr 2.69
Zr1 0.8354 0.6646 0.0000  2 S 2.69, 6 As 2.78-2.85
Zr2 0.1646 0.3354 0.0000  2 S 2.69, 6 As 2.78-2.85
Zr3 0.6646 0.1646 0.0000  2 S 2.69, 6 As 2.78-2.85
Zr4 0.3354 0.8354 0.0000  2 S 2.69, 6 As 2.78-2.85
As1 0.8669 0.3669 0.5000  1 As 2.71, 6 Zr 2.78-2.85
As2 0.3669 0.1331 0.5000  1 As 2.71, 6 Zr 2.78-2.85
As3 0.6331 0.8669 0.5000  1 As 2.71, 6 Zr 2.78-2.85
As4 0.1331 0.6331 0.5000  1 As 2.71, 6 Zr 2.78-2.85

Output
The value obtained for the energy relative to the lowest polymorph listed for this composition is 0.000 eV/atom. For the density of states at the Fermi level, the calculation gives 0.0865 states/eV/atom. The formation energy (no corrections) is -5.29 eV per formula unit.

=====

# 8
Compound: TlAsPb2
Source: the Alexandria database
Functional: GGA-PBE
Structure: optimized geometry

Cell lengths 6.3071, 6.3071, 5.6891 Å; angles 61.25, 61.25, 37.45 degrees
With the nearest neighbours (Å) after each atom.
Fractional positions:
Pb1 0.5399 0.5399 0.4583  2 As 2.96
Pb2 0.9601 0.9601 0.0417  2 As 2.96
As1 0.2500 0.2500 0.2500  4 Pb 2.96
Tl1 0.7500 0.7500 0.7500  4 As 3.49, 8 Pb 3.50-3.65

Output
The value obtained for the energy relative to the lowest polymorph listed for this composition is 0.035 eV/atom. For the density of states at the Fermi level, the calculation gives 0.4044 states/eV/atom. For the calculated formation energy, the calculation gives 0.058 eV per atom.

=====

# 9
Compound: YHo4Er4
Source: the Alexandria database
Functional: GGA-PBE
Structure: optimized geometry

Cell lengths 4.9722, 7.8788, 7.8788 Å; angles 84.29, 71.61, 71.61 degrees
With the nearest neighbours (Å) after each atom.
Fractional positions:
Er1 0.6672 0.0001 0.6655  4 Er 3.51-3.54, 6 Ho 3.52, 2 Y 3.53
Er2 0.3327 0.3345 0.0001  4 Er 3.51-3.54, 6 Ho 3.52, 2 Y 3.53
Er3 0.6673 0.6655 0.9999  4 Er 3.51-3.54, 6 Ho 3.52, 2 Y 3.53
Er4 0.3328 0.9999 0.3345  4 Er 3.51-3.54, 6 Ho 3.52, 2 Y 3.53
Ho1 0.0000 0.3336 0.6663  5 Ho 3.52, 6 Er 3.52, 1 Y 3.53
Ho2 0.6663 0.3337 0.3336  5 Ho 3.52, 6 Er 3.52, 1 Y 3.53
Ho3 0.0000 0.6664 0.3337  5 Ho 3.52, 6 Er 3.52, 1 Y 3.53
Ho4 0.3337 0.6663 0.6664  5 Ho 3.52, 6 Er 3.52, 1 Y 3.53
Y1 0.0000 0.0000 0.0000  8 Er 3.53, 4 Ho 3.53

Output
For the density of states at the Fermi level, the calculation gives 1.4101 states/eV/atom. For the calculated formation energy, the calculation gives 0.023 eV per atom.

=====

# 10
Compound: TlBiS2N
Source: the Alexandria database
Functional: GGA-PBE
Structure: optimized geometry

Cell lengths 5.3522, 5.3522, 4.6383 Å; angles 90.00, 90.00, 90.00 degrees
With the nearest neighbours (Å) after each atom.
Fractional positions:
Bi1 0.0000 0.0000 0.0000  2 N 2.32
S1 0.5000 0.0000 0.0000  2 Bi 2.68
S2 0.0000 0.5000 0.0000  2 Bi 2.68
N1 0.0000 0.0000 0.5000  2 Bi 2.32
Tl1 0.5000 0.5000 0.5000  8 S 3.54, 4 N 3.78

Output
The value obtained for the energy relative to the lowest polymorph listed for this composition is 0.000 eV/atom. For the density of states at the Fermi level, the calculation gives 0.5369 states/eV/atom. The formation energy (no corrections) is 3.53 eV per formula unit.

=====

# 11
Compound: ScAlCr3
Source: the Alexandria database
Functional: GGA-PBE
Structure: optimized geometry

Cell lengths 4.5479, 4.5479, 4.5479 Å; angles 90.00, 90.00, 90.00 degrees
With the nearest neighbours (Å) after each atom.
Fractional positions:
Cr1 0.0000 0.0000 0.5000  2 Al 2.27
Cr2 0.5000 0.0000 0.0000  2 Al 2.27
Cr3 0.0000 0.5000 0.0000  2 Al 2.27
Al1 0.0000 0.0000 0.0000  6 Cr 2.27
Sc1 0.5000 0.5000 0.5000  12 Cr 3.22

Output
The value obtained for the energy relative to the lowest polymorph listed for this composition is 0.000 eV/atom. For the density of states at the Fermi level, the calculation gives 1.5290 states/eV/atom. For the calculated formation energy, the calculation gives 1.049 eV per atom.

=====

# 12
Compound: NdPu2Mn
Source: the Alexandria database
Functional: GGA-PBE
Structure: optimized geometry

Cell lengths 3.3775, 3.3775, 8.7121 Å; angles 90.00, 90.00, 90.00 degrees
With the nearest neighbours (Å) after each atom.
Fractional positions:
Pu1 0.0000 0.0000 0.8114  4 Mn 2.90
Pu2 0.0000 0.0000 0.1886  4 Mn 2.90
Mn1 0.5000 0.5000 0.0000  8 Pu 2.90
Nd1 0.5000 0.5000 0.5000  4 Nd 3.38, 8 Pu 3.61

Output
The value obtained for the energy relative to the lowest polymorph listed for this composition is 0.000 eV/atom. For the density of states at the Fermi level, the calculation gives 2.8141 states/eV/atom. For the calculated formation energy, the calculation gives 0.159 eV per atom.